[1]
A relaxed NaTiIO2 crystal. Source: Alexandria, functional PBE.

Geometry as POSCAR:
```
NaTiIO2
1.0
3.938 0.000 0.000
0.000 3.938 0.000
0.000 0.000 5.848
Na Ti I O
1 1 1 2
Cartesian
0.000 0.000 0.000
1.969 1.969 2.924
1.969 1.969 0.000
0.000 1.969 2.924
1.969 0.000 2.924
```

Summary:
The calculated volume comes out at 18.14 Å³ per atom. The formation energy from raw total energies is -1.738 eV per atom. The value obtained for the total energy is -5.874 eV per atom. The energy above the most stable polymorph in this dataset comes out at 0.000 eV per atom.


[2]
A relaxed Na2TiIO6 crystal. Source: Alexandria, functional PBE.

Geometry as POSCAR:
```
Na2TiIO6
1.0
5.536 0.000 0.000
0.000 5.536 0.000
0.000 0.000 4.109
Na Ti I O
2 1 1 6
Cartesian
0.000 2.768 0.000
2.768 0.000 0.000
0.000 0.000 2.097
2.768 2.768 2.273
0.000 0.000 0.359
1.392 1.392 2.414
1.392 4.144 2.414
2.768 2.768 0.326
4.144 1.392 2.414
4.144 4.144 2.414
```

Summary:
The calculated volume comes out at 12.59 Å³ per atom. The formation energy from raw total energies is -1.507 eV per atom. The value obtained for the total energy is -5.690 eV per atom.


[3]
A relaxed NaTl2IO6 crystal. Source: Alexandria, functional PBE.

Geometry as POSCAR:
```
NaTl2IO6
1.0
0.000 4.133 4.133
4.133 0.000 4.133
4.133 4.133 0.000
Na Tl I O
1 2 1 6
Cartesian
0.000 0.000 0.000
2.066 2.066 2.066
6.199 6.199 6.199
4.133 4.133 4.133
4.133 4.133 2.234
4.133 2.234 4.133
6.031 4.133 4.133
2.234 4.133 4.133
4.133 6.031 4.133
4.133 4.133 6.031
```

Summary:
The calculated volume comes out at 14.12 Å³ per atom. The formation energy from raw total energies is -0.541 eV per atom. The value obtained for the total energy is -4.276 eV per atom.


[4]
A relaxed NaTlIO5 crystal. Source: Alexandria, functional PBE.

Geometry as POSCAR:
```
NaTlIO5
1.0
3.721 -5.436 0.000
3.721 5.436 0.000
-3.437 0.000 6.789
Na Tl I O
2 2 2 10
Cartesian
1.144 3.101 5.092
2.862 -3.101 1.697
3.721 0.000 0.000
2.003 0.000 3.394
2.862 3.123 1.697
1.144 -3.123 5.092
-1.883 1.157 6.340
1.361 2.401 2.673
-0.164 -1.157 2.945
4.363 2.401 0.721
1.144 0.788 5.092
2.862 -0.788 1.697
-0.357 -2.401 6.067
4.170 1.157 3.844
2.645 -2.401 4.116
5.888 -1.157 0.449
```

Summary:
The calculated volume comes out at 17.17 Å³ per atom. The formation energy from raw total energies is -0.563 eV per atom. The value obtained for the total energy is -4.316 eV per atom.